Record 1
Computed, not measured: a geometry-optimized MnCSe2 structure at the PBE-GGA level of DFT.

Results
- spin magnetization (Bohr magnetons per cell) = 9.26
- raw formation energy (eV per formula unit) = 3.42
- V (Å³/cell) = 159

The structure in POSCAR format:
```
MnCSe2
1.0
-2.575 4.583 -1.139
-4.612 -2.162 1.728
-2.555 3.056 5.373
Mn Se C
2 4 2
Direct
0.750 0.250 0.500
0.000 0.000 0.000
0.875 0.821 0.750
0.571 0.125 0.250
0.179 0.625 0.250
0.375 0.429 0.750
0.500 0.500 0.000
0.250 0.750 0.500
```

Record 2
Computed, not measured: a geometry-optimized Tl2SbBr8 structure at the PBE-GGA level of DFT.

Results
- spin magnetization (Bohr magnetons per cell) = 0.00
- raw formation energy (eV per formula unit) = -5.09
- V (Å³/cell) = 413

The structure in POSCAR format:
```
Tl2SbBr8
1.0
-0.442 1.385 -3.582
-4.375 -7.389 -2.318
-10.285 4.201 4.978
Br Tl Sb
8 2 1
Direct
0.754 0.737 0.509
0.012 0.228 0.024
0.246 0.263 0.491
0.615 0.516 0.231
0.382 0.043 0.764
0.988 0.772 0.976
0.385 0.484 0.769
0.618 0.957 0.236
0.167 0.707 0.333
0.833 0.293 0.667
0.500 0.000 0.000
```

Record 3
Computed, not measured: a geometry-optimized K2PuMnTe4 structure at the PBE-GGA level of DFT.

Results
- spin magnetization (Bohr magnetons per cell) = 9.00
- raw formation energy (eV per formula unit) = -6.25
- V (Å³/cell) = 275

The structure in POSCAR format:
```
K2PuMnTe4
1.0
-3.066 1.284 -2.845
-0.543 -7.214 -2.671
-5.596 0.806 6.393
K Mn Pu Te
2 1 1 4
Direct
0.000 0.500 0.500
0.500 0.000 0.500
0.000 0.000 0.000
0.500 0.500 0.000
0.500 0.791 0.815
0.000 0.256 0.794
0.000 0.744 0.206
0.500 0.209 0.185
```

Record 4
Computed, not measured: a geometry-optimized GaSnPd structure at the PBE-GGA level of DFT.

Results
- spin magnetization (Bohr magnetons per cell) = 0.00
- V (Å³/cell) = 60
- ΔE_f (eV per formula unit) = -0.64

The structure in POSCAR format:
```
GaSnPd
1.0
3.613 0.000 0.000
0.000 4.388 0.000
0.000 -2.194 3.800
Ga Sn Pd
1 1 1
Direct
0.167 0.333 0.667
0.667 0.667 0.333
0.166 0.000 0.000
```

Record 5
Computed, not measured: a geometry-optimized Pm2Ho5Th2 structure at the PBE-GGA level of DFT.

Results
- spin magnetization (Bohr magnetons per cell) = 0.00
- V (Å³/cell) = 310
- ΔE_f (eV per formula unit) = 2.35

The structure in POSCAR format:
```
Pm2Ho5Th2
1.0
-0.078 3.045 -1.673
-7.185 -1.899 -3.121
0.659 4.621 11.988
Th Pm Ho
2 2 5
Direct
0.448 0.248 0.895
0.552 0.752 0.105
0.824 0.796 0.647
0.176 0.204 0.353
0.692 0.840 0.384
0.909 0.546 0.818
0.308 0.160 0.616
0.091 0.454 0.182
0.000 0.000 0.000
```

Record 6
Computed, not measured: a geometry-optimized Ta2AgSb structure at the PBE-GGA level of DFT.

Results
- spin magnetization (Bohr magnetons per cell) = 0.00
- raw formation energy (eV per formula unit) = 1.39
- V (Å³/cell) = 76

The structure in POSCAR format:
```
Ta2AgSb
1.0
2.954 0.000 0.000
0.000 4.421 0.000
0.000 0.000 5.786
Ta Sb Ag
2 1 1
Direct
0.000 0.000 0.497
0.000 0.000 0.003
0.500 0.500 0.750
0.500 0.500 0.250
```

- What is the formula in the first record?
  MnCSe2

- What is the spin magnetization in the fifth record?
  0.00 Bohr magnetons per cell

What did the fifth record say?
Computed, not measured: a geometry-optimized Pm2Ho5Th2 structure at the PBE-GGA level of DFT.

Results
- spin magnetization (Bohr magnetons per cell) = 0.00
- V (Å³/cell) = 310
- ΔE_f (eV per formula unit) = 2.35

The structure in POSCAR format:
```
Pm2Ho5Th2
1.0
-0.078 3.045 -1.673
-7.185 -1.899 -3.121
0.659 4.621 11.988
Th Pm Ho
2 2 5
Direct
0.448 0.248 0.895
0.552 0.752 0.105
0.824 0.796 0.647
0.176 0.204 0.353
0.692 0.840 0.384
0.909 0.546 0.818
0.308 0.160 0.616
0.091 0.454 0.182
0.000 0.000 0.000
```